[1]
## AsPtRh2 (PBE)

Data for an optimized crystal structure of AsPtRh2.

Unit cell a=3.838 b=2.900 c=5.656 alpha=75.20 beta=90.00 gamma=90.00
Fractional coordinates of all 4 atoms:
1 Rh 0.000 0.934 0.007
2 Rh 0.500 0.295 0.286
3 Pt 0.500 0.560 0.755
4 As 0.000 0.711 0.452

Properties
ΔH_f (0 K): -0.122 eV/atom
density of states at the Fermi level: 1.068 states/eV per atom



[2]
## MgCdInHg (PBE)

Data for an optimized crystal structure of MgCdInHg.

Unit cell a=5.128 b=5.128 c=5.128 alpha=60.00 beta=60.00 gamma=60.00
Fractional coordinates of all 4 atoms:
1 In 0.500 0.500 0.500
2 Cd 0.750 0.750 0.750
3 Hg 0.000 0.000 0.000
4 Mg 0.250 0.250 0.250

Properties
ΔH_f (0 K): -0.034 eV/atom
density of states at the Fermi level: 0.212 states/eV per atom